Below is crystalline Tl2Ag2Sb at its relaxed geometry, with properties calculated at the PBEsol level.

abc: 7.2843 7.2843 4.4670
angles: 90.00 90.00 90.00
Space group P4/mbm (No. 127)
One atom of each set of equivalent atoms:
Tl: 0.1658 0.3342 0.0000 [4 per cell]
Ag: 0.1356 0.6356 0.5000 [4 per cell]
Sb: 0.0000 0.0000 0.5000 [2 per cell]

Values from the calculation:
D(E_F) = 0.3693 states/eV per atom
formation energy from raw total energies = 0.10 eV/atom
E_tot = -3.19 eV per atom
total magnetic moment = 0.00 μB/cell